Entry 1:
Here is a geometry-optimized ZrBeP structure from the Alexandria database. Energies are from PBE.

Results
Calculated total energy, eV/atom: -6.71
Calculated volume, Å³/f.u.: 41.5
Energy relative to the elements, eV/atom: -0.8130
N(E_F), states/eV/f.u.: 1.1
Energy relative to the lowest polymorph listed for this composition, meV per atom: 0.0

```
ZrBeP
1.0
3.644 0.000 0.000
-1.822 3.155 0.000
0.000 0.000 3.607
Zr Be P
1 1 1
Cartesian
0.000 0.000 0.000
1.822 1.052 1.803
0.000 2.104 1.803
```

---

Entry 2:
Here is a geometry-optimized ZrBeP2 structure from the Alexandria database. Energies are from PBE.

Results
Calculated total energy, eV/atom: -6.25
Calculated volume, Å³/f.u.: 63.9
Energy relative to the elements, eV/atom: -0.4756
N(E_F), states/eV/f.u.: 1.8

```
ZrBeP2
1.0
1.776 1.025 5.855
-1.776 1.025 5.855
0.000 -2.050 5.855
Zr Be P
1 1 2
Cartesian
0.000 0.000 0.000
0.000 0.000 14.471
0.000 0.000 4.254
0.000 0.000 7.647
```

---

Entry 3:
Here is a geometry-optimized Zr2BeP structure from the Alexandria database. Energies are from PBE.

Results
Calculated total energy, eV/atom: -6.96
Calculated volume, Å³/f.u.: 67.3
Energy relative to the elements, eV/atom: -0.4045
N(E_F), states/eV/f.u.: 2.5
Energy relative to the lowest polymorph listed for this composition, meV per atom: 546.8

```
Zr2BeP
1.0
-1.898 1.898 4.670
1.898 -1.898 4.670
1.898 1.898 -4.670
Zr Be P
2 1 1
Cartesian
0.000 0.000 0.000
0.000 1.898 2.335
1.898 0.000 2.335
0.000 0.000 4.670
```